1.
Computed, not measured: a relaxed YRhW2 crystal at the PBEsol level of DFT.

DFT formation energy: 0.21 eV/atom
M_tot: 0.00 μB per formula unit
DOS(E_F): 4.33 states/eV/cell
Crystal system: orthorhombic
Space-group type: Immm (71)

abc: 3.2461 4.3902 5.5792
angles: 113.17 106.91 90.00
Fractional positions:
Rh (0.5000, 0.0000, 0.0000)
W (0.7598, 0.7598, 0.5196)
W (0.2402, 0.2402, 0.4804)
Y (0.0000, 0.5000, 0.0000)

---

2.
Computed, not measured: a relaxed CoPt2C crystal at the PBEsol level of DFT.

DFT formation energy: 0.56 eV/atom
M_tot: 1.11 μB per formula unit
DOS(E_F): 8.90 states/eV/cell
Crystal system: tetragonal
Space-group type: I-42d (122)

abc: 3.9467 5.4771 5.4771
angles: 82.54 68.88 68.88
Fractional positions:
C (0.5000, 0.0000, 0.0000)
C (0.2500, 0.5000, 0.5000)
Co (0.0000, 0.0000, 0.0000)
Co (0.7500, 0.5000, 0.5000)
Pt (0.8750, 0.8704, 0.6296)
Pt (0.3750, 0.1296, 0.3704)
Pt (0.4954, 0.6296, 0.1296)
Pt (0.2546, 0.3704, 0.8704)

---

3.
Computed, not measured: a relaxed Li3Co3NiO8 crystal at the PBEsol level of DFT.

M_tot: 0.00 μB per formula unit
DOS(E_F): 5.77 states/eV/cell
Crystal system: monoclinic
Calculated total energy: -6.5313 eV per atom
Space-group type: C2/m (12)

abc: 5.6024 5.6024 5.6562
angles: 60.56 60.56 60.01
Fractional positions:
Li (0.0000, 0.5000, 0.5000)
Li (0.5000, 0.5000, 0.5000)
Li (0.5000, 0.0000, 0.5000)
Co (0.0000, 0.5000, 0.0000)
Co (0.5000, 0.5000, 0.0000)
Co (0.5000, 0.0000, 0.0000)
Ni (0.0000, 0.0000, 0.0000)
O (0.2672, 0.7600, 0.2091)
O (0.2651, 0.2651, 0.2107)
O (0.7600, 0.2672, 0.2091)
O (0.7610, 0.7610, 0.2159)
O (0.2390, 0.2390, 0.7841)
O (0.2400, 0.7328, 0.7909)
O (0.7349, 0.7349, 0.7893)
O (0.7328, 0.2400, 0.7909)

---

4.
Computed, not measured: a relaxed Sr2HgAs crystal at the PBEsol level of DFT.

DFT formation energy: -0.82 eV/atom
M_tot: 0.00 μB per formula unit
DOS(E_F): 2.68 states/eV/cell
Crystal system: tetragonal
Space-group type: P4/mmm (123)

abc: 3.9026 3.9026 7.3856
angles: 90.00 90.00 90.00
Fractional positions:
Sr (0.0000, 0.0000, 0.7766)
Sr (0.0000, 0.0000, 0.2234)
As (0.5000, 0.5000, 0.0000)
Hg (0.5000, 0.5000, 0.5000)

---

5.
Computed, not measured: a relaxed TcW crystal at the PBEsol level of DFT.

DFT formation energy: 0.09 eV/atom
M_tot: 0.00 μB per formula unit
DOS(E_F): 3.02 states/eV/cell
Crystal system: tetragonal
Space-group type: P4/nmm (129)

abc: 3.0961 3.0961 6.2605
angles: 90.00 90.00 90.00
Fractional positions:
Tc (0.5000, 0.0000, 0.8611)
Tc (0.0000, 0.5000, 0.1389)
W (0.5000, 0.0000, 0.3681)
W (0.0000, 0.5000, 0.6319)

---

6.
Computed, not measured: a relaxed Ta6Al7 crystal at the PBEsol level of DFT.

DFT formation energy: -0.24 eV/atom
M_tot: 0.00 μB per formula unit
DOS(E_F): 8.31 states/eV/cell
Crystal system: trigonal
Space-group type: R-3m (166)

abc: 5.1003 5.1003 9.6245
angles: 74.64 74.64 60.00
Fractional positions:
Al (0.4095, 0.4095, 0.2651)
Al (0.9159, 0.4095, 0.2651)
Al (0.4095, 0.9159, 0.2651)
Al (0.5905, 0.5905, 0.7349)
Al (0.5905, 0.0841, 0.7349)
Al (0.0841, 0.5905, 0.7349)
Al (0.5000, 0.5000, 0.5000)
Ta (0.9539, 0.9539, 0.1383)
Ta (0.0461, 0.0461, 0.8617)
Ta (0.8520, 0.8520, 0.4440)
Ta (0.1480, 0.1480, 0.5560)
Ta (0.6660, 0.6660, 0.0019)
Ta (0.3340, 0.3340, 0.9981)

---

7.
Computed, not measured: a relaxed MoPt2W crystal at the PBEsol level of DFT.

DFT formation energy: -0.25 eV/atom
M_tot: 0.00 μB per formula unit
DOS(E_F): 2.98 states/eV/cell
Crystal system: tetragonal
Space-group type: I4/mmm (139)

abc: 3.8244 3.8244 4.9032
angles: 112.95 112.95 90.00
Fractional positions:
Mo (0.5000, 0.5000, 0.0000)
Pt (0.7500, 0.2500, 0.5000)
Pt (0.2500, 0.7500, 0.5000)
W (0.0000, 0.0000, 0.0000)

---

8.
Computed, not measured: a relaxed LiTaP2 crystal at the PBEsol level of DFT.

DFT formation energy: -0.57 eV/atom
M_tot: 0.00 μB per formula unit
DOS(E_F): 1.18 states/eV/cell
Crystal system: monoclinic
Space-group type: C2/m (12)

abc: 3.4064 3.4064 6.8870
angles: 89.17 104.64 121.22
Fractional positions:
P (0.9930, 0.2452, 0.2383)
P (0.0070, 0.7548, 0.7617)
Ta (0.5000, 0.5000, 0.0000)
Li (0.5000, 0.0000, 0.5000)